An optimized crystal structure of Cu2Se, computed with PBE.

```
3
Lattice="-2.1737 2.9168 -0.8374 -3.0334 -2.0584 0.7041 0.0839 1.0349 3.3872" Properties=species:S:1:pos:R:3 pbc="T T T"
Cu -1.0449 1.9759 1.2749
Cu -1.4747 -0.5117 2.0456
Se 0.0000 0.0000 0.0000
```

Calculated values
Mass density ... 6.93 g/cm³
Calculated total energy ... -3.800 eV per atom
Symmetry ... No. 123